! SCAN ZnSiBr3, single point on PBEsol structure; values from VASP
&SYSTEM
  ibrav = 0, nat = 5, ntyp = 3
/
ATOMIC_SPECIES
Br 79.90 Br.upf
Si 28.09 Si.upf
Zn 65.41 Zn.upf
CELL_PARAMETERS angstrom
5.0912 0.0000 0.0000
0.0000 5.0912 0.0000
0.0000 0.0000 5.0912
ATOMIC_POSITIONS angstrom
Br 2.5456 0.0000 0.0000
Br 0.0000 2.5456 0.0000
Br 0.0000 0.0000 2.5456
Si 0.0000 0.0000 0.0000
Zn 2.5456 2.5456 2.5456
! * space group: Pm-3m (221)
! * ΔE_f (raw): -2.3 kJ/mol of atoms
! * density of states at the Fermi level: 1.654 states/eV per cell



! SCAN Zr2IrPb, single point on PBEsol structure; values from VASP
&SYSTEM
  ibrav = 0, nat = 4, ntyp = 3
/
ATOMIC_SPECIES
Zr 91.22 Zr.upf
Pb 207.20 Pb.upf
Ir 192.22 Ir.upf
CELL_PARAMETERS angstrom
-1.5955 2.7430 -1.6846
-2.0039 -0.6059 -2.9197
-7.7316 -0.2154 3.1408
ATOMIC_POSITIONS angstrom
Zr -2.4886 0.5293 -0.6122
Zr -8.8424 1.3924 -0.8513
Pb -5.6655 0.9609 -0.7318
Ir 0.0000 0.0000 0.0000
! * space group: R-3m (166)
! * calculated formation energy: -0.524 eV/atom
! * density of states at the Fermi level: 2.666 states/eV per cell



! SCAN Cd2AgAu, single point on PBEsol structure; values from VASP
&SYSTEM
  ibrav = 0, nat = 4, ntyp = 3
/
ATOMIC_SPECIES
Ag 107.87 Ag.upf
Cd 112.41 Cd.upf
Au 196.97 Au.upf
CELL_PARAMETERS angstrom
2.9562 0.0000 0.0000
-1.4781 4.7970 0.0155
0.0000 -0.9399 5.1051
ATOMIC_POSITIONS angstrom
Ag 1.4781 0.0000 0.0000
Cd 0.0000 2.1697 1.2839
Cd 1.4781 1.6874 3.8367
Au 0.0000 -0.4700 2.5526
! * space group: C2/m (12)
! * calculated formation energy: -0.108 eV/atom
! * density of states at the Fermi level: 1.083 states/eV per cell



! SCAN CsMg2Pt, single point on PBEsol structure; values from VASP
&SYSTEM
  ibrav = 0, nat = 4, ntyp = 3
/
ATOMIC_SPECIES
Pt 195.08 Pt.upf
Mg 24.30 Mg.upf
Cs 132.91 Cs.upf
CELL_PARAMETERS angstrom
-1.9073 -2.8463 -3.8812
1.6806 -4.8425 -0.7276
-3.1211 -4.0035 1.0168
ATOMIC_POSITIONS angstrom
Pt -1.6739 -5.8461 -1.7960
Mg -0.8369 -2.9231 -0.8980
Mg -2.5108 -8.7692 -2.6939
Cs 0.0000 0.0000 0.0000
! * space group: Fm-3m (225)
! * calculated formation energy: 0.302 eV/atom
! * density of states at the Fermi level: 2.174 states/eV per cell



! SCAN LaAg2, single point on PBEsol structure; values from VASP
&SYSTEM
  ibrav = 0, nat = 3, ntyp = 2
/
ATOMIC_SPECIES
Ag 107.87 Ag.upf
La 138.91 La.upf
CELL_PARAMETERS angstrom
3.5329 0.0000 0.0000
0.0000 4.7736 0.0000
0.0000 -2.3868 4.1340
ATOMIC_POSITIONS angstrom
Ag 0.0000 0.0000 2.7560
Ag 0.0000 2.3868 1.3780
La 1.7665 0.0000 0.0000
! * space group: P6/mmm (191)
! * calculated formation energy: -0.326 eV/atom
! * density of states at the Fermi level: 2.451 states/eV per cell



! SCAN Y2AlCrPb, single point on PBEsol structure; values from VASP
&SYSTEM
  ibrav = 0, nat = 5, ntyp = 4
/
ATOMIC_SPECIES
Cr 52.00 Cr.upf
Y 88.91 Y.upf
Al 26.98 Al.upf
Pb 207.20 Pb.upf
CELL_PARAMETERS angstrom
4.7924 0.0000 0.0000
0.0000 4.9970 0.0000
0.0000 0.0000 4.9970
ATOMIC_POSITIONS angstrom
Cr 0.0000 0.0000 0.0000
Y 0.0000 2.4985 0.0000
Y 0.0000 0.0000 2.4985
Al 2.3962 0.0000 0.0000
Pb 2.3962 2.4985 2.4985
! * space group: P4/mmm (123)
! * calculated formation energy: 0.224 eV/atom
! * density of states at the Fermi level: 3.140 states/eV per cell



! SCAN FeRe2Cl, single point on PBEsol structure; values from VASP
&SYSTEM
  ibrav = 0, nat = 4, ntyp = 3
/
ATOMIC_SPECIES
Re 186.21 Re.upf
Fe 55.84 Fe.upf
Cl 35.45 Cl.upf
CELL_PARAMETERS angstrom
3.5462 0.0000 0.0000
0.0000 3.5462 0.0000
0.0000 0.0000 4.9025
ATOMIC_POSITIONS angstrom
Re 0.0000 1.7731 0.0000
Re 1.7731 0.0000 0.0000
Fe 0.0000 0.0000 2.4512
Cl 1.7731 1.7731 2.4512
! * space group: P4/mmm (123)
! * ΔE_f (raw): 129.1 kJ/mol of atoms
! * density of states at the Fermi level: 3.863 states/eV per cell



! SCAN PIrPtO2, single point on PBEsol structure; values from VASP
&SYSTEM
  ibrav = 0, nat = 5, ntyp = 4
/
ATOMIC_SPECIES
Ir 192.22 Ir.upf
O 16.00 O.upf
Pt 195.08 Pt.upf
P 30.97 P.upf
CELL_PARAMETERS angstrom
-0.1195 2.7139 -2.3248
-3.3107 0.7914 1.0941
2.4772 4.0320 4.5795
ATOMIC_POSITIONS angstrom
Ir -0.4765 3.7687 1.6744
O -1.6553 0.3957 0.5470
O -0.0598 1.3569 -1.1624
Pt 0.0000 0.0000 0.0000
P 1.2386 2.0160 2.2898
! * space group: P4/mmm (123)
! * ΔE_f (raw): 51.8 kJ/mol of atoms
! * density of states at the Fermi level: 3.778 states/eV per cell



! SCAN BaAlRu2, single point on PBEsol structure; values from VASP
&SYSTEM
  ibrav = 0, nat = 4, ntyp = 3
/
ATOMIC_SPECIES
Ba 137.33 Ba.upf
Ru 101.07 Ru.upf
Al 26.98 Al.upf
CELL_PARAMETERS angstrom
3.0058 0.0010 0.0016
-1.4316 5.1936 -0.0211
-1.4316 -2.2873 4.6629
ATOMIC_POSITIONS angstrom
Ba 0.0713 1.4536 2.3217
Ru -0.7158 -1.1437 2.3314
Ru -0.7158 2.5968 -0.0106
Al 1.5029 0.0005 0.0008
! * space group: C2/m (12)
! * calculated formation energy: 0.812 eV/atom
! * density of states at the Fermi level: 3.549 states/eV per cell



! SCAN BaRuO3, single point on PBEsol structure; values from VASP
&SYSTEM
  ibrav = 0, nat = 5, ntyp = 3
/
ATOMIC_SPECIES
O 16.00 O.upf
Ba 137.33 Ba.upf
Ru 101.07 Ru.upf
CELL_PARAMETERS angstrom
3.9853 0.0000 0.0000
0.0000 3.9853 0.0000
0.0000 0.0000 3.9853
ATOMIC_POSITIONS angstrom
O 0.0000 1.9926 0.0000
O 1.9926 0.0000 0.0000
O 0.0000 0.0000 1.9926
Ba 1.9926 1.9926 1.9926
Ru 0.0000 0.0000 0.0000
! * space group: Pm-3m (221)
! * ΔE_f (raw): -193.7 kJ/mol of atoms
! * density of states at the Fermi level: 0.947 states/eV per cell



! SCAN K2CaBr, single point on PBEsol structure; values from VASP
&SYSTEM
  ibrav = 0, nat = 4, ntyp = 3
/
ATOMIC_SPECIES
Ca 40.08 Ca.upf
Br 79.90 Br.upf
K 39.10 K.upf
CELL_PARAMETERS angstrom
-3.0528 -3.1767 2.7728
3.9999 -3.2648 0.6635
1.2266 6.4318 3.8326
ATOMIC_POSITIONS angstrom
Ca 2.8501 -0.0269 3.1071
Br 0.4736 -3.2207 1.7181
K -0.6763 0.0172 4.1617
K 0.0000 0.0000 0.0000
! * space group: I-4m2 (119)
! * ΔE_f (raw): -43.3 kJ/mol of atoms
! * density of states at the Fermi level: 0.910 states/eV per cell



! SCAN KO2F, single point on PBEsol structure; values from VASP
&SYSTEM
  ibrav = 0, nat = 8, ntyp = 3
/
ATOMIC_SPECIES
O 16.00 O.upf
K 39.10 K.upf
F 19.00 F.upf
CELL_PARAMETERS angstrom
-3.1738 -0.7464 0.5397
0.9558 -1.4396 3.6300
-1.3013 8.1045 3.5566
ATOMIC_POSITIONS angstrom
O -1.0586 0.6790 4.8318
O -2.5926 6.0617 3.2553
O -0.3896 5.6695 5.5502
O -0.1567 2.2464 2.1855
K -1.2337 -0.5141 2.1522
K -1.8006 3.4120 4.2486
F -0.6521 4.2723 2.0743
F 0.8650 -1.0848 3.5863
! * space group: Pmc2_1 (26)
! * ΔE_f (raw): -35.4 kJ/mol of atoms



Number 1: ρ 4.19 g/cm³. Number 2: ρ 10.69 g/cm³. Number 3: ρ 12.14 g/cm³. Number 4: ρ 6.37 g/cm³. Number 5: ρ 8.45 g/cm³. Number 6: ρ 6.44 g/cm³. Number 7: ρ 12.49 g/cm³. Number 8: ρ 8.88 g/cm³. Number 9: ρ 8.37 g/cm³. Number 10: ρ 7.51 g/cm³. Number 11: ρ 1.83 g/cm³. Number 12: ρ 2.52 g/cm³.